! Ru3Rh | Alexandria via LeMat-Bulk | PBE-GGA | optimized geometry; values from VASP
! Calculated volume: 14.44 A^3/atom
! Space-group type: Fm-3m (225)
! DOS(E_F): 27.9 states/eV/cell
! E_form: 550 meV/atom
&SYSTEM
  ibrav = 0, nat = 16, ntyp = 2
/
ATOMIC_SPECIES
Ru 101.07 Ru.upf
Rh 102.91 Rh.upf
ATOMIC_POSITIONS crystal
Ru 0.000 0.000 0.000
Ru 0.000 0.500 0.500
Ru 0.250 0.250 0.250
Ru 0.250 0.250 0.750
Ru 0.250 0.750 0.250
Ru 0.250 0.750 0.750
Ru 0.500 0.000 0.500
Ru 0.500 0.500 0.000
Ru 0.750 0.250 0.250
Ru 0.750 0.250 0.750
Ru 0.750 0.750 0.250
Ru 0.750 0.750 0.750
Rh 0.000 0.000 0.500
Rh 0.000 0.500 0.000
Rh 0.500 0.000 0.000
Rh 0.500 0.500 0.500
CELL_PARAMETERS angstrom
6.136 0.000 0.000
0.000 6.136 0.000
0.000 0.000 6.136